Entry 1:
TbYRu2: optimized geometry, PBE.

As for the crystal system: tetragonal. For the formation energy, the calculation gives -0.2852 eV/atom.

It has space group P4/mmm (No. 123), with a = 3.412 Å, b = 3.412 Å, c = 6.827 Å, α = 90.00°, β = 90.00° and γ = 90.00°. Symmetry generates all atoms from Tb at (0.000, 0.000, 0.000), Y at (0.000, 0.000, 0.500) and Ru at (0.500, 0.500, 0.248).


Entry 2:
Ta2MoPb: optimized geometry, PBE.

As for the crystal system: tetragonal. For the formation energy, the calculation gives 0.3585 eV/atom.

It has space group P4/mmm (No. 123), with a = 4.158 Å, b = 4.158 Å, c = 4.310 Å, α = 90.00°, β = 90.00° and γ = 90.00°. Symmetry generates all atoms from Ta at (0.000, 0.500, 0.000), Mo at (0.000, 0.000, 0.500) and Pb at (0.500, 0.500, 0.500).


Entry 3:
CePaTcOs: optimized geometry, PBE.

As for the crystal system: cubic. For the formation energy, the calculation gives -0.1245 eV/atom.

It has space group F-43m (No. 216), with a = 6.904 Å, b = 6.904 Å, c = 6.904 Å, α = 90.00°, β = 90.00° and γ = 90.00°. Symmetry generates all atoms from Ce at (0.000, 0.000, 0.000), Pa at (0.000, 0.000, 0.500), Tc at (0.250, 0.250, 0.250) and Os at (0.250, 0.250, 0.750).


Q: Which mass density values were calculated for the entries above? A: 9401, 14815, 13311, in kg/m3.